(1)
LuGaFeW | PBE | optimized geometry

Cell lengths 4.5339, 4.5339, 4.5339 Å; angles 60.00, 60.00, 60.00 degrees
Closest atoms and distances in Å follow each position.
Fractional positions:
Lu 0.0000 0.0000 0.0000  4 W 2.78, 4 Ga 2.78
Ga 0.2500 0.2500 0.2500  4 Fe 2.78, 4 Lu 2.78
Fe 0.5000 0.5000 0.5000  4 W 2.78, 4 Ga 2.78
W 0.7500 0.7500 0.7500  4 Fe 2.78, 4 Lu 2.78

Total magnetization   1.93 μB per formula unit
Energy above the lowest structure with this stoichiometry   0.000 eV per atom
Energy   -27.24 eV/cell



(2)
YLuGaFe | PBE | optimized geometry

Cell lengths 4.7742, 4.7742, 4.7742 Å; angles 60.00, 60.00, 60.00 degrees
Closest atoms and distances in Å follow each position.
Fractional positions:
Y 0.0000 0.0000 0.0000  4 Ga 2.92, 4 Lu 2.92
Lu 0.7500 0.7500 0.7500  4 Fe 2.92, 4 Y 2.92
Ga 0.2500 0.2500 0.2500  4 Fe 2.92, 4 Y 2.92
Fe 0.5000 0.5000 0.5000  4 Lu 2.92, 4 Ga 2.92

Total magnetization   1.00 μB per formula unit
Energy above the lowest structure with this stoichiometry   0.000 eV per atom
Energy   -22.16 eV/cell



(3)
LuZnGaFe | PBE | optimized geometry

Cell lengths 4.5380, 4.5380, 4.5380 Å; angles 60.00, 60.00, 60.00 degrees
Closest atoms and distances in Å follow each position.
Fractional positions:
Lu 0.0000 0.0000 0.0000  4 Fe 2.78, 4 Zn 2.78
Zn 0.2500 0.2500 0.2500  4 Ga 2.78, 4 Lu 2.78
Ga 0.5000 0.5000 0.5000  4 Fe 2.78, 4 Zn 2.78
Fe 0.7500 0.7500 0.7500  4 Lu 2.78, 4 Ga 2.78

Total magnetization   2.01 μB per formula unit
Energy above the lowest structure with this stoichiometry   0.089 eV per atom
Energy   -17.36 eV/cell



(4)
LuZnGaFe | PBE | optimized geometry

Cell lengths 4.5486, 4.5486, 4.5486 Å; angles 60.00, 60.00, 60.00 degrees
Closest atoms and distances in Å follow each position.
Fractional positions:
Lu 0.0000 0.0000 0.0000  4 Zn 2.79, 4 Ga 2.79
Zn 0.7500 0.7500 0.7500  4 Fe 2.79, 4 Lu 2.79
Ga 0.2500 0.2500 0.2500  4 Fe 2.79, 4 Lu 2.79
Fe 0.5000 0.5000 0.5000  4 Ga 2.79, 4 Zn 2.79

Total magnetization   2.15 μB per formula unit
Energy above the lowest structure with this stoichiometry   0.000 eV per atom
Energy   -17.72 eV/cell



(5)
MgGaFeMo | PBE | optimized geometry

Cell lengths 4.2983, 4.2983, 4.2983 Å; angles 60.00, 60.00, 60.00 degrees
Closest atoms and distances in Å follow each position.
Fractional positions:
Mg 0.0000 0.0000 0.0000  4 Mo 2.63, 4 Ga 2.63
Ga 0.2500 0.2500 0.2500  4 Fe 2.63, 4 Mg 2.63
Fe 0.5000 0.5000 0.5000  4 Mo 2.63, 4 Ga 2.63
Mo 0.7500 0.7500 0.7500  4 Mg 2.63, 4 Fe 2.63

Total magnetization   0.93 μB per formula unit
Energy above the lowest structure with this stoichiometry   0.000 eV per atom
Energy   -23.00 eV/cell



(6)
MgGaFeOs | PBE | optimized geometry

Cell lengths 4.3126, 4.3126, 4.3126 Å; angles 60.00, 60.00, 60.00 degrees
Closest atoms and distances in Å follow each position.
Fractional positions:
Mg 0.0000 0.0000 0.0000  4 Os 2.64, 4 Ga 2.64
Ga 0.2500 0.2500 0.2500  4 Fe 2.64, 4 Mg 2.64
Fe 0.5000 0.5000 0.5000  4 Os 2.64, 4 Ga 2.64
Os 0.7500 0.7500 0.7500  4 Fe 2.64, 4 Mg 2.64

Total magnetization   2.90 μB per formula unit
Energy above the lowest structure with this stoichiometry   0.000 eV per atom
Energy   -23.47 eV/cell